TbB | OQMD | PBE-GGA | relaxed; space-group type = P-6m2, No. 187; total moment = 0.007 Bohr magnetons per cell; DFT total energy = -10.218 eV/f.u.
1.0
-0.4663 3.4144 0.2848
0.1196 -1.9713 2.8383
3.6278 0.4803 0.1808
Tb B
1 1
direct
0.3333 0.6667 0.2500
0.6667 0.3333 0.7500

=====

GdHoAl2Ni4 | OQMD | PBE-GGA | relaxed; space-group type = P-6m2, No. 187; total moment = 0.001 Bohr magnetons per cell; DFT total energy = -43.678 eV/f.u.
1.0
-1.6929 -1.5329 -3.4534
4.1179 0.2397 0.3568
0.1689 -8.1913 3.5532
Gd Al Ni Ho
1 2 4 1
direct
0.0000 0.0000 0.0000
0.6667 0.3333 0.7463
0.6667 0.3333 0.2537
0.3333 0.6667 0.8085
0.3333 0.6667 0.1915
0.0000 0.0000 0.6844
0.0000 0.0000 0.3156
0.3333 0.6667 0.5000

=====

Sc2TcC2 | OQMD | PBE-GGA | relaxed; space-group type = P4/mbm, No. 127; total moment = 0.002 Bohr magnetons per cell; DFT total energy = -43.272 eV/f.u.
1.0
-4.2214 4.1155 0.1018
-2.4288 -2.3720 -4.8210
-1.8978 -1.9945 1.9374
Sc Tc C
4 2 4
direct
0.6854 0.1854 0.5000
0.3146 0.8146 0.5000
0.8146 0.6854 0.5000
0.1854 0.3146 0.5000
0.0000 0.0000 0.0000
0.5000 0.5000 0.0000
0.0942 0.5942 0.0000
0.9058 0.4058 0.0000
0.5942 0.9058 0.0000
0.4058 0.0942 0.0000

=====

Tm3Al2InAu3 | OQMD | PBE-GGA | relaxed; space-group type = Amm2, No. 38; total moment = 0.003 Bohr magnetons per cell; DFT total energy = -40.460 eV/f.u.
1.0
-2.0996 1.3260 3.1223
6.1042 -0.0639 4.1319
-1.7120 6.1127 -3.7472
Al Tm Au In
2 3 3 1
direct
0.0000 0.2520 0.0026
0.0000 0.0026 0.2520
0.5000 0.5865 0.9981
0.5000 0.4097 0.4097
0.5000 0.9981 0.5865
0.0000 0.6641 0.3182
0.0000 0.3182 0.6641
0.5000 0.0207 0.0207
0.0000 0.7480 0.7480

=====

RbHoSnS3 | OQMD | PBE-GGA | relaxed; space-group type = Cmcm, No. 63; total moment = 0.008 Bohr magnetons per cell; DFT total energy = -29.567 eV/f.u.
1.0
4.2041 0.5590 -7.5696
-6.7035 1.5057 5.2994
4.8752 9.6635 3.4213
S Ho Rb Sn
6 2 2 2
direct
0.3913 0.6087 0.4940
0.3913 0.6087 0.0060
0.9897 0.0103 0.2500
0.0103 0.9897 0.7500
0.6087 0.3913 0.9940
0.6087 0.3913 0.5060
0.0000 0.0000 0.5000
0.0000 0.0000 0.0000
0.6815 0.3185 0.2500
0.3185 0.6815 0.7500
0.6154 0.3846 0.7500
0.3846 0.6154 0.2500

=====

TbPuHf | OQMD | PBE-GGA | relaxed; space-group type = F-43m, No. 216; total moment = 6.144 Bohr magnetons per cell; DFT total energy = -26.235 eV/f.u.; ΔH_f (0 K) = 0.825 eV per atom
1.0
0.0000 3.6017 3.6017
3.6017 0.0000 3.6017
3.6017 3.6017 0.0000
Pu Hf Tb
1 1 1
direct
0.2500 0.2500 0.2500
0.0000 0.0000 0.0000
0.7500 0.7500 0.7500

=====

CsCo3N5 | OQMD | PBE-GGA | relaxed; space-group type = P6/mmm, No. 191; total moment = 2.500 Bohr magnetons per cell; DFT total energy = -56.224 eV/f.u.
1.0
-3.1370 1.1713 3.3672
3.3459 -3.2479 0.8984
3.8192 4.4869 1.9973
N Co Cs
5 3 1
direct
0.6667 0.3333 0.2964
0.6667 0.3333 0.7036
0.3333 0.6667 0.7036
0.3333 0.6667 0.2964
0.0000 0.0000 0.5000
0.5000 0.0000 0.5000
0.0000 0.5000 0.5000
0.5000 0.5000 0.5000
0.0000 0.0000 0.0000

=====

ErThCd | OQMD | PBE-GGA | relaxed; space-group type = F-43m, No. 216; total moment = 1.018 Bohr magnetons per cell; DFT total energy = -10.853 eV/f.u.; ΔH_f (0 K) = 0.673 eV per atom
1.0
-3.9287 -1.8308 2.7248
-4.7972 0.6671 -1.6589
-2.6841 -3.9953 -1.7448
Cd Er Th
1 1 1
direct
0.2500 0.2500 0.2500
0.0000 0.0000 0.0000
0.7500 0.7500 0.7500

=====

LiPrAg | OQMD | PBE-GGA | relaxed; space-group type = F-43m, No. 216; total moment = 0.027 Bohr magnetons per cell; DFT total energy = -8.368 eV/f.u.
1.0
0.0000 3.5144 3.5144
3.5144 0.0000 3.5144
3.5144 3.5144 0.0000
Li Ag Pr
1 1 1
direct
0.7500 0.7500 0.7500
0.2500 0.2500 0.2500
0.0000 0.0000 0.0000

=====

TbPm2Ag3 | OQMD | PBE-GGA | relaxed; space-group type = P4/mmm, No. 123; total moment = 0.022 Bohr magnetons per cell; DFT total energy = -24.378 eV/f.u.; ΔH_f (0 K) = -0.298 eV per atom
1.0
-2.9784 -0.9148 -1.9473
1.0161 -3.5294 0.1039
-5.7635 -1.3807 9.4639
Ag Pm Tb
3 2 1
direct
0.5000 0.5000 0.0000
0.5000 0.5000 0.6580
0.5000 0.5000 0.3420
0.0000 0.0000 0.1694
0.0000 0.0000 0.8306
0.0000 0.0000 0.5000

=====

PrNdZn6 | OQMD | PBE-GGA | relaxed; space-group type = P4/mmm, No. 123; total moment = 0.008 Bohr magnetons per cell; DFT total energy = -19.311 eV/f.u.; ΔH_f (0 K) = -0.273 eV per atom
1.0
4.7977 0.0000 0.0000
0.0000 4.7977 0.0000
0.0000 0.0000 6.7839
Zn Nd Pr
6 1 1
direct
0.5000 0.0000 0.7506
0.0000 0.5000 0.7506
0.0000 0.5000 0.2494
0.5000 0.0000 0.2494
0.0000 0.0000 0.5000
0.5000 0.5000 0.0000
0.0000 0.0000 0.0000
0.5000 0.5000 0.5000

=====

LaAl2Hg | OQMD | PBE-GGA | relaxed; space-group type = Amm2, No. 38; total moment = 0.003 Bohr magnetons per cell; DFT total energy = -14.277 eV/f.u.
1.0
4.6326 0.0000 0.0000
0.0000 3.3885 6.0344
0.0000 -3.3885 6.0344
Al La Hg
4 2 2
direct
0.5000 0.8590 0.8590
0.0000 0.1362 0.7213
0.0000 0.7213 0.1362
0.0000 0.1333 0.1333
0.0000 0.6774 0.6774
0.5000 0.3288 0.3288
0.5000 0.8354 0.3086
0.5000 0.3086 0.8354